Pr6HoAl after structural relaxation. Source: Alexandria, functional PBE-GGA.

Summary:
Crystal system ... tetragonal
Energy relative to the elements ... -0.059 eV/atom
Electronic total energy ... -4.68 eV/atom

Cell: 5.0258 5.0258 10.3036 Å, 90.00 90.00 90.00°
Closest atoms and distances in Å follow each position.
Element x y z (fractional)
Pr 0.0000 0.0000 0.0000  8 Pr 3.52, 4 Al 3.55
Pr 0.0000 0.0000 0.5000  4 Ho 3.55, 8 Pr 3.68
Pr 0.0000 0.5000 0.2387  8 Pr 3.52-3.68, 2 Al 3.52, 2 Ho 3.68
Pr 0.0000 0.5000 0.7613  8 Pr 3.52-3.68, 2 Al 3.52, 2 Ho 3.68
Pr 0.5000 0.0000 0.2387  8 Pr 3.52-3.68, 2 Al 3.52, 2 Ho 3.68
Pr 0.5000 0.0000 0.7613  8 Pr 3.52-3.68, 2 Al 3.52, 2 Ho 3.68
Ho 0.5000 0.5000 0.5000  12 Pr 3.55-3.68
Al 0.5000 0.5000 0.0000  12 Pr 3.52-3.55